Record 1
Density functional theory data (PBE) for Cs2KScBi2 after structural relaxation.

```
12
Lattice="8.297 0.000 0.000 0.000 7.651 0.000 -4.149 -3.825 8.813" Properties=species:S:1:pos:R:3 pbc="T T T"
Sc 4.149 5.738 0.000
Sc 4.149 1.913 0.000
Cs 6.255 3.825 3.140
Cs 2.042 0.000 3.140
Cs -2.107 0.000 5.673
Cs 2.107 3.825 5.673
Bi 5.750 0.000 1.655
Bi 2.547 3.825 1.655
Bi -1.601 3.825 7.158
Bi 1.601 0.000 7.158
K 0.000 5.738 0.000
K 0.000 1.913 0.000
```

ΔE_f: -0.53 eV per atom
E_tot: -3.347 eV/atom

Record 2
Density functional theory data (PBE) for Cs2K4SnBi2 after structural relaxation.

```
9
Lattice="5.976 0.499 0.339 2.173 9.364 0.830 2.173 4.211 8.405" Properties=species:S:1:pos:R:3 pbc="T T T"
K 2.396 3.493 5.711
K 2.396 6.595 1.152
K 7.926 7.479 8.423
K 7.926 10.581 3.864
Bi 7.671 11.141 7.580
Bi 2.651 2.933 1.995
Cs 5.386 5.269 3.585
Cs 4.936 8.805 5.990
Sn 2.988 0.249 0.170
```

D(E_F): 8.4 states/eV per cell
ΔE_f: -0.19 eV per atom
E_tot: -2.178 eV/atom

Record 3
Density functional theory data (PBE) for CsKTa2Bi after structural relaxation.

```
5
Lattice="5.476 0.000 0.000 0.000 6.672 0.000 0.000 0.000 5.476" Properties=species:S:1:pos:R:3 pbc="T T T"
K 0.000 3.336 0.000
Ta 0.000 0.000 2.738
Ta 2.738 0.000 0.000
Bi 0.000 0.000 0.000
Cs 2.738 3.336 2.738
```

D(E_F): 7.3 states/eV per cell
ΔE_f: 1.61 eV per atom
E_tot: -4.302 eV/atom